Entry 1:
Here is an optimized crystal structure of Nd2Y4Te3H2 from Alexandria. Energies are from PBE.

Cell and atoms, written as POSCAR:
```
Nd2Y4Te3H2
1.0
4.5125 0.0000 0.0000
0.0000 4.5125 0.0000
-2.2562 -2.2562 13.2515
Y Nd Te H
4 2 3 2
direct
0.4168 0.9168 0.8336
0.5832 0.0832 0.1664
0.0832 0.5832 0.1664
0.9168 0.4168 0.8336
0.7063 0.7063 0.4126
0.2937 0.2937 0.5874
0.0000 0.0000 0.0000
0.8296 0.8296 0.6593
0.1704 0.1704 0.3407
0.4314 0.4314 0.8628
0.5686 0.5686 0.1372
```

Computed properties:
M_tot	0.00	μB per formula unit
space-group type	No. 139
DFT total energy	-0.2008	hartree per atom
V	269.8	Å³/cell
ρ	6.3	Mg/m³


Entry 2:
Here is an optimized crystal structure of Mg5Bi from Alexandria. Energies are from PBE.

Cell and atoms, written as POSCAR:
```
Mg5Bi
1.0
-4.4611 -5.4603 4.9577
6.8334 4.3124 -3.0005
-0.9554 3.9190 3.4566
Mg Bi
5 1
direct
0.1048 0.8952 0.5000
0.4510 0.5490 0.5000
0.3407 0.6593 0.0000
0.0013 0.9987 0.0000
0.6610 0.3390 0.0000
0.7746 0.2254 0.5000
```

Computed properties:
M_tot	0.00	μB per formula unit
space-group type	No. 38
energy of formation	-2.7	kJ/mol of atoms
V	147.6	Å³/cell
ρ	3.7	Mg/m³


Entry 3:
Here is an optimized crystal structure of CaCoAsOs2 from Alexandria. Energies are from PBE.

Cell and atoms, written as POSCAR:
```
CaCoAsOs2
1.0
-4.6280 -0.4174 0.2869
0.3920 -1.0695 4.7676
-0.3434 4.5243 1.0431
Ca As Co Os
1 1 1 2
direct
0.0000 0.0000 0.0000
0.0000 0.5000 0.0000
0.5000 0.5000 0.5000
0.0000 0.0000 0.5000
0.5000 0.0000 0.0000
```

Computed properties:
M_tot	0.02	μB per formula unit
space-group type	No. 123
energy of formation	289.4	kJ/mol of atoms
V	106.2	Å³/cell
ρ	8.7	Mg/m³


Entry 4:
Here is an optimized crystal structure of AcTb3Ag4 from Alexandria. Energies are from PBE.

Cell and atoms, written as POSCAR:
```
AcTb3Ag4
1.0
-1.5334 -4.5349 2.2395
6.1180 -3.3551 -2.6049
5.1901 2.6067 8.8323
Tb Ag Ac
6 8 2
direct
0.0000 0.0000 0.0000
0.4998 0.5000 0.7500
0.5006 0.0000 0.2500
0.0000 0.0000 0.5000
0.5002 0.5000 0.2500
0.4994 0.0000 0.7500
0.0009 0.7715 0.2500
0.9991 0.2285 0.7500
0.5000 0.2282 0.0000
0.5000 0.7718 0.5000
0.0009 0.2285 0.2500
0.5000 0.7718 0.0000
0.5000 0.2282 0.5000
0.9991 0.7715 0.7500
0.0000 0.5000 0.0000
0.0000 0.5000 0.5000
```

Computed properties:
M_tot	0.00	μB per formula unit
space-group type	No. 123
energy of formation	-26.4	kJ/mol of atoms
V	416.1	Å³/cell
ρ	9.1	Mg/m³


Entry 5:
Here is an optimized crystal structure of KRbOsO2 from Alexandria. Energies are from PBE.

Cell and atoms, written as POSCAR:
```
KRbOsO2
1.0
-4.0945 -2.9790 -0.1725
2.0394 -3.0759 4.7105
-2.4336 3.1642 3.1199
K O Os Rb
1 2 1 1
direct
0.0000 0.0000 0.0000
0.0000 0.0000 0.5000
0.5000 0.0000 0.0000
0.5000 0.5000 0.5000
0.0000 0.5000 0.0000
```

Computed properties:
M_tot	6.00	μB per formula unit
formation energy without anion corrections	1.448	eV/atom
space-group type	No. 123
V	153.6	Å³/cell
ρ	3.7	Mg/m³


Entry 6:
Here is an optimized crystal structure of EuDyRhPb from Alexandria. Energies are from PBE.

Cell and atoms, written as POSCAR:
```
EuDyRhPb
1.0
-4.5916 2.4561 -0.4583
-4.3654 -2.7531 -0.8302
-3.5810 -0.4257 3.7843
Rh Pb Eu Dy
1 1 1 1
direct
0.0000 0.0000 0.0000
0.5000 0.5000 0.5000
0.2500 0.2500 0.2500
0.7500 0.7500 0.7500
```

Computed properties:
M_tot	6.85	μB per formula unit
space-group type	No. 216
energy of formation	-38.8	kJ/mol of atoms
V	101.0	Å³/cell
ρ	10.3	Mg/m³


Entry 7:
Here is an optimized crystal structure of Na3TbIn2Se6 from Alexandria. Energies are from PBE.

Cell and atoms, written as POSCAR:
```
Na3TbIn2Se6
1.0
-3.9212 -5.0178 -3.0442
6.9412 0.3029 -1.2444
0.1684 -2.6931 6.9451
In Se Na Tb
2 6 3 1
direct
0.3332 0.6668 0.0000
0.6668 0.3332 0.0000
0.0755 0.4185 0.2254
0.7324 0.7324 0.2263
0.4185 0.0755 0.2254
0.5815 0.9245 0.7746
0.9245 0.5815 0.7746
0.2676 0.2676 0.7737
0.5000 0.5000 0.5000
0.8335 0.1665 0.5000
0.1665 0.8335 0.5000
0.0000 0.0000 0.0000
```

Computed properties:
M_tot	0.00	μB per formula unit
formation energy without anion corrections	-1.083	eV/atom
space-group type	No. 12
V	304.9	Å³/cell
ρ	5.1	Mg/m³


Entry 8:
Here is an optimized crystal structure of ScSi2Os2 from Alexandria. Energies are from PBE.

Cell and atoms, written as POSCAR:
```
ScSi2Os2
1.0
7.1716 0.0000 0.0000
0.0000 7.1716 0.0000
0.0000 0.0000 2.8471
Si Sc Os
4 2 4
direct
0.8597 0.6403 0.0000
0.6403 0.1403 0.0000
0.1403 0.3597 0.0000
0.3597 0.8597 0.0000
0.5000 0.5000 0.0000
0.0000 0.0000 0.0000
0.6533 0.8467 0.5000
0.3467 0.1533 0.5000
0.8467 0.3467 0.5000
0.1533 0.6533 0.5000
```

Computed properties:
M_tot	0.12	μB per formula unit
formation energy without anion corrections	-0.430	eV/atom
space-group type	No. 127
V	146.4	Å³/cell
ρ	10.9	Mg/m³


- Which value of V does entry 3 give?
  106.2 Å³/cell


- The highest V belongs to which entry?
  AcTb3Ag4


- The highest V belongs to which entry?
  AcTb3Ag4